(1)
Computed, not measured: PrSm2Ho6Er after structural relaxation at the PBE-GGA level of DFT.

Output
* DFT formation energy: 0.1179 eV/atom
* space group: No. 15

Cell: 9.6213 8.7754 8.7754 Å, 117.94 94.11 94.11°
Sites, in units of the cell vectors:
Pr  0.2500  0.9792  0.0208
Pr  0.7500  0.0208  0.9792
Sm  0.4555  0.8032  0.6992
Sm  0.0445  0.3008  0.1968
Sm  0.5445  0.1968  0.3008
Sm  0.9555  0.6992  0.8032
Ho  0.0575  0.1243  0.7432
Ho  0.4425  0.2568  0.8757
Ho  0.9425  0.8757  0.2568
Ho  0.5575  0.7432  0.1243
Ho  0.3150  0.9809  0.4306
Ho  0.1850  0.5694  0.0191
Ho  0.6850  0.0191  0.5694
Ho  0.8150  0.4306  0.9809
Ho  0.1187  0.7065  0.4921
Ho  0.3813  0.5079  0.2935
Ho  0.8813  0.2935  0.5079
Ho  0.6187  0.4921  0.7065
Er  0.2500  0.4084  0.5916
Er  0.7500  0.5916  0.4084

---

(2)
Computed, not measured: Pr2Sm6Ho3Er after structural relaxation at the PBE-GGA level of DFT.

Output
* DFT formation energy: 0.0166 eV/atom
* space group: No. 12

Cell: 6.2485 6.2485 11.9479 Å, 95.00 95.00 119.99°
Sites, in units of the cell vectors:
Pr  0.3334  0.6666  0.0000
Pr  0.6666  0.3334  0.0000
Sm  0.9155  0.5837  0.7465
Sm  0.7526  0.7526  0.2539
Sm  0.0845  0.4163  0.2535
Sm  0.5837  0.9155  0.7465
Sm  0.2474  0.2474  0.7461
Sm  0.4163  0.0845  0.2535
Ho  0.1663  0.8337  0.5000
Ho  0.8337  0.1663  0.5000
Ho  0.5000  0.5000  0.5000
Er  0.0000  0.0000  0.0000

---

(3)
Computed, not measured: PrSm3Ho2Er6 after structural relaxation at the PBE-GGA level of DFT.

Output
* DFT formation energy: 0.0184 eV/atom
* space group: No. 12

Cell: 6.1628 6.1628 11.7435 Å, 95.00 95.00 119.97°
Sites, in units of the cell vectors:
Pr  0.0000  0.0000  0.0000
Sm  0.1669  0.8331  0.5000
Sm  0.8331  0.1669  0.5000
Sm  0.5000  0.5000  0.5000
Ho  0.3332  0.6668  0.0000
Ho  0.6668  0.3332  0.0000
Er  0.9164  0.5824  0.7508
Er  0.7493  0.7493  0.2492
Er  0.0836  0.4176  0.2492
Er  0.5824  0.9164  0.7508
Er  0.2507  0.2507  0.7508
Er  0.4176  0.0836  0.2492

---

(4)
Computed, not measured: PrSm2Ho6Er3 after structural relaxation at the PBE-GGA level of DFT.

Output
* DFT formation energy: 0.0205 eV/atom
* space group: No. 12

Cell: 6.1529 6.1529 11.7541 Å, 94.99 94.99 119.96°
Sites, in units of the cell vectors:
Pr  0.0000  0.0000  0.0000
Sm  0.3334  0.6666  0.0000
Sm  0.6666  0.3334  0.0000
Ho  0.9146  0.5809  0.7460
Ho  0.7516  0.7516  0.2540
Ho  0.0854  0.4191  0.2540
Ho  0.5809  0.9146  0.7460
Ho  0.2484  0.2484  0.7460
Ho  0.4191  0.0854  0.2540
Er  0.1668  0.8332  0.5000
Er  0.8332  0.1668  0.5000
Er  0.5000  0.5000  0.5000

---

| no. | total energy (eV per atom) |
| --- | --- |
| 1 | -4.507 |
| 2 | -4.664 |
| 3 | -4.604 |
| 4 | -4.594 |